No. 1
Material: NdTaSi2Os
Method: DFT, PBE
State: relaxed

a = 4.0586 Å, b = 4.0586 Å, c = 6.2587 Å
α = 108.92°, β = 108.92°, γ = 90.00°
Fractional coordinates of all 5 atoms:
Nd1 0.0000 0.0000 0.0000
Ta1 0.2500 0.7500 0.5000
Si1 0.6112 0.6112 0.2224
Si2 0.3888 0.3888 0.7776
Os1 0.7500 0.2500 0.5000

Calculated values
ρ in g cm⁻³: 10.4
Space-group type: I-4m2, No. 119
ΔE_f (raw) in meV/atom: -592
DOS at the Fermi energy in states/eV/atom: 0.571
V in A^3/atom: 18.3

---

No. 2
Material: TcF3
Method: DFT, PBE
State: relaxed

a = 7.6088 Å, b = 7.6088 Å, c = 3.0371 Å
α = 90.00°, β = 90.00°, γ = 138.17°
Each line ends with the local moment (μB).
Fractional coordinates of all 8 atoms:
Tc1 0.3536 0.6464 0.5000  1.82
Tc2 0.6288 0.3712 0.0000  3.21
F1 0.2555 0.7445 0.0000  0.03
F2 0.6324 0.8194 0.0000  0.03
F3 0.1806 0.3676 0.0000  0.03
F4 0.7503 0.2497 0.5000  0.20
F5 0.3512 0.1541 0.5000  0.08
F6 0.8459 0.6488 0.5000  0.08

Calculated values
ρ in g cm⁻³: 4.4
Excess energy over the best structure of this formula in the dataset in meV per atom: 0
Space-group type: Amm2, No. 38
ΔE_f (raw) in meV/atom: -1447
DOS at the Fermi energy in states/eV/atom: 0.271
V in A^3/atom: 14.7